[1]
Density functional theory data (GGA-PBE) for crystalline NbAgPb2 at its relaxed geometry.

Lattice parameters (Å, degrees): 5.136 5.136 5.136 60.00 60.00 60.00
Positions (direct):
Nb: 0.000 0.000 0.000
Ag: 0.250 0.250 0.250
Pb: 0.500 0.500 0.500
Pb: 0.750 0.750 0.750

Output
VASP energy in eV/atom: -4.4378
Theoretical density in g cm⁻³: 10.66
SG: F-43m (216)

[2]
Density functional theory data (GGA-PBE) for crystalline NbAg2Pb at its relaxed geometry.

Lattice parameters (Å, degrees): 4.808 4.808 4.808 60.00 60.00 60.00
Positions (direct):
Nb: 0.000 0.000 0.000
Ag: 0.500 0.500 0.500
Ag: 0.750 0.750 0.750
Pb: 0.250 0.250 0.250

Output
VASP energy in eV/atom: -4.4137
Theoretical density in g cm⁻³: 10.90
SG: F-43m (216)

[3]
Density functional theory data (GGA-PBE) for crystalline NbAgPb at its relaxed geometry.

Lattice parameters (Å, degrees): 4.692 4.692 4.692 60.00 60.00 60.00
Positions (direct):
Nb: 0.000 0.000 0.000
Ag: 0.500 0.500 0.500
Pb: 0.750 0.750 0.750

Output
VASP energy in eV/atom: -4.7387
Theoretical density in g cm⁻³: 9.28
SG: F-43m (216)

[4]
Density functional theory data (GGA-PBE) for crystalline Nb2AgPbS4 at its relaxed geometry.

Lattice parameters (Å, degrees): 3.374 3.374 16.890 90.00 90.00 120.00
Positions (direct):
Nb: 0.333 0.667 0.265
Nb: 0.667 0.333 0.735
Ag: 0.000 0.000 0.500
Pb: 0.000 0.000 0.000
S: 0.000 0.000 0.173
S: 0.000 0.000 0.357
S: 0.000 0.000 0.643
S: 0.000 0.000 0.827

Output
VASP energy in eV/atom: -6.2410
Theoretical density in g cm⁻³: 6.28
SG: P-3m1 (164)

[5]
Density functional theory data (GGA-PBE) for crystalline NbAgPd at its relaxed geometry.

Lattice parameters (Å, degrees): 4.361 4.361 4.361 60.00 60.00 60.00
Positions (direct):
Nb: 0.000 0.000 0.000
Ag: 0.500 0.500 0.500
Pd: 0.750 0.750 0.750

Output
Theoretical density in g cm⁻³: 8.70
SG: F-43m (216)
ΔH_f (0 K) in eV per atom: 0.405

[6]
Density functional theory data (GGA-PBE) for crystalline NbAgPd2 at its relaxed geometry.

Lattice parameters (Å, degrees): 4.524 4.524 4.524 60.00 60.00 60.00
Positions (direct):
Nb: 0.000 0.000 0.000
Ag: 0.250 0.250 0.250
Pd: 0.500 0.500 0.500
Pd: 0.750 0.750 0.750

Output
Theoretical density in g cm⁻³: 10.49
SG: F-43m (216)
ΔH_f (0 K) in eV per atom: 0.038

[7]
Density functional theory data (GGA-PBE) for crystalline NbAgPd at its relaxed geometry.

Lattice parameters (Å, degrees): 4.397 4.397 4.397 60.00 60.00 60.00
Positions (direct):
Nb: 0.000 0.000 0.000
Ag: 0.750 0.750 0.750
Pd: 0.250 0.250 0.250

Output
Theoretical density in g cm⁻³: 8.49
SG: F-43m (216)
ΔH_f (0 K) in eV per atom: 0.615

[8]
Density functional theory data (GGA-PBE) for crystalline Nb2AgPd at its relaxed geometry.

Lattice parameters (Å, degrees): 4.595 4.595 4.595 60.00 60.00 60.00
Positions (direct):
Nb: 0.000 0.000 0.000
Nb: 0.250 0.250 0.250
Ag: 0.750 0.750 0.750
Pd: 0.500 0.500 0.500

Output
Theoretical density in g cm⁻³: 9.68
SG: F-43m (216)
ΔH_f (0 K) in eV per atom: 0.233